1) ! PBE KCoRu, relaxed; values from VASP
&SYSTEM
  ibrav = 0, nat = 6, ntyp = 3
/
ATOMIC_SPECIES
Ru 101.07 Ru.upf
K 39.10 K.upf
Co 58.93 Co.upf
CELL_PARAMETERS angstrom
12.178 -0.166 -0.007
-0.139 2.785 0.000
0.003 0.000 4.080
ATOMIC_POSITIONS crystal
Ru 0.344 0.068 0.564
Ru 0.523 0.620 0.564
K 0.086 0.124 0.564
K 0.734 0.172 0.064
Co 0.472 0.111 0.064
Co 0.300 0.565 0.064
! Total magnetization: 1.63 μB per formula unit
! Space-group type: Pm

2) ! PBE KCoRu, relaxed; values from VASP
&SYSTEM
  ibrav = 0, nat = 6, ntyp = 3
/
ATOMIC_SPECIES
Ru 101.07 Ru.upf
K 39.10 K.upf
Co 58.93 Co.upf
CELL_PARAMETERS angstrom
5.356 -0.034 -0.005
-5.185 7.849 0.048
1.451 0.939 3.527
ATOMIC_POSITIONS crystal
Ru 0.356 0.588 0.350
Ru 0.336 0.717 0.860
K 0.708 0.085 0.173
K 0.579 0.393 0.739
Co 0.926 0.769 0.064
Co 0.911 0.875 0.572
! Total magnetization: 0.68 μB per formula unit
! Space-group type: Cm

Order of stability, best first: 1), 2)

1) ! PBE KCoRu, relaxed; values from VASP
&SYSTEM
  ibrav = 0, nat = 6, ntyp = 3
/
ATOMIC_SPECIES
Ru 101.07 Ru.upf
K 39.10 K.upf
Co 58.93 Co.upf
CELL_PARAMETERS angstrom
11.729 0.026 0.023
-0.421 4.571 0.005
0.068 -0.851 2.665
ATOMIC_POSITIONS crystal
Ru 0.456 0.764 0.638
Ru 0.544 0.236 0.362
K 0.820 0.209 0.820
K 0.180 0.791 0.180
Co 0.625 0.690 0.083
Co 0.375 0.310 0.917
! Total magnetization: 1.38 μB per formula unit
! Space-group type: P-1

2) ! PBE KCoRu, relaxed; values from VASP
&SYSTEM
  ibrav = 0, nat = 6, ntyp = 3
/
ATOMIC_SPECIES
Ru 101.07 Ru.upf
K 39.10 K.upf
Co 58.93 Co.upf
CELL_PARAMETERS angstrom
-0.605 -1.785 4.567
5.841 -2.722 -0.443
0.408 3.896 1.577
ATOMIC_POSITIONS crystal
Ru 0.971 0.670 0.211
Ru 0.725 0.749 0.750
K 0.967 0.190 0.471
K 0.466 0.282 0.018
Co 0.454 0.787 0.270
Co 0.234 0.749 0.750
! Total magnetization: 1.49 μB per formula unit
! Space-group type: Cm

Order of stability, best first: 2), 1)

1) ! PBE KCoRu2, relaxed; values from VASP
&SYSTEM
  ibrav = 0, nat = 4, ntyp = 3
/
ATOMIC_SPECIES
Co 58.93 Co.upf
K 39.10 K.upf
Ru 101.07 Ru.upf
CELL_PARAMETERS angstrom
-2.433 -0.923 0.798
2.123 -0.538 1.615
-1.609 8.522 4.955
ATOMIC_POSITIONS crystal
Co 0.000 0.000 0.462
K 0.500 0.500 0.746
Ru 0.000 0.000 0.036
Ru 0.500 0.500 0.256
! Total magnetization: 2.00 μB per formula unit
! Space-group type: Cmm2

2) ! PBE KCoRu2, relaxed; values from VASP
&SYSTEM
  ibrav = 0, nat = 4, ntyp = 3
/
ATOMIC_SPECIES
Co 58.93 Co.upf
K 39.10 K.upf
Ru 101.07 Ru.upf
CELL_PARAMETERS angstrom
2.649 0.000 0.000
0.000 3.530 0.000
0.000 0.000 7.986
ATOMIC_POSITIONS crystal
Co 0.500 0.500 0.250
K 0.500 0.500 0.750
Ru 0.000 0.000 0.094
Ru 0.000 0.000 0.406
! Total magnetization: 1.55 μB per formula unit
! Space-group type: Pmmm

3) ! PBE KCoRu2, relaxed; values from VASP
&SYSTEM
  ibrav = 0, nat = 4, ntyp = 3
/
ATOMIC_SPECIES
Co 58.93 Co.upf
K 39.10 K.upf
Ru 101.07 Ru.upf
CELL_PARAMETERS angstrom
-1.773 -0.969 4.015
-0.606 -4.259 -1.300
4.079 1.868 -0.261
ATOMIC_POSITIONS crystal
Co 0.500 0.500 0.000
K 0.750 0.250 0.500
Ru 0.000 0.000 0.000
Ru 0.250 0.750 0.500
! Total magnetization: 2.30 μB per formula unit
! Space-group type: F-43m

4) ! PBE KCoRu2, relaxed; values from VASP
&SYSTEM
  ibrav = 0, nat = 4, ntyp = 3
/
ATOMIC_SPECIES
Co 58.93 Co.upf
K 39.10 K.upf
Ru 101.07 Ru.upf
CELL_PARAMETERS angstrom
4.715 0.000 0.000
0.000 3.772 0.000
0.000 0.000 3.772
ATOMIC_POSITIONS crystal
Co 0.500 0.500 0.000
K 0.500 0.000 0.500
Ru 0.000 0.000 0.000
Ru 0.000 0.500 0.500
! Total magnetization: 2.78 μB per formula unit
! Space-group type: P4/mmm

Order of stability, best first: 2), 1), 3), 4)

1) ! PBE KCoRu2, relaxed; values from VASP
&SYSTEM
  ibrav = 0, nat = 4, ntyp = 3
/
ATOMIC_SPECIES
Co 58.93 Co.upf
K 39.10 K.upf
Ru 101.07 Ru.upf
CELL_PARAMETERS angstrom
-0.368 2.894 -5.046
2.287 -1.963 -4.989
-3.672 -0.231 4.520
ATOMIC_POSITIONS crystal
Co 0.750 0.250 0.500
K 0.250 0.750 0.500
Ru 0.961 0.961 0.000
Ru 0.539 0.539 0.000
! Total magnetization: 1.41 μB per formula unit
! Space-group type: Immm

2) ! PBE KCoRu2, relaxed; values from VASP
&SYSTEM
  ibrav = 0, nat = 4, ntyp = 3
/
ATOMIC_SPECIES
Co 58.93 Co.upf
K 39.10 K.upf
Ru 101.07 Ru.upf
CELL_PARAMETERS angstrom
-4.880 -5.897 -6.438
-4.517 -7.741 -4.439
-6.669 -6.042 -4.364
ATOMIC_POSITIONS crystal
Co 0.250 0.250 0.250
K 0.750 0.750 0.750
Ru 0.984 0.984 0.984
Ru 0.516 0.516 0.516
! Total magnetization: 1.86 μB per formula unit
! Space-group type: R-3m

Order of stability, best first: 2), 1)

1) ! PBE KCo3S, relaxed; values from VASP
&SYSTEM
  ibrav = 0, nat = 5, ntyp = 3
/
ATOMIC_SPECIES
K 39.10 K.upf
Co 58.93 Co.upf
S 32.06 S.upf
CELL_PARAMETERS angstrom
-4.481 -0.675 -0.307
0.714 -4.437 -0.659
-0.202 -0.698 4.483
ATOMIC_POSITIONS crystal
K 0.000 0.000 0.000
Co 0.000 0.500 0.000
Co 0.000 0.000 0.500
Co 0.500 0.000 0.000
S 0.500 0.500 0.500
! Total magnetization: 4.66 μB per formula unit
! Space-group type: Pm-3m

2) ! PBE KCo3S, relaxed; values from VASP
&SYSTEM
  ibrav = 0, nat = 5, ntyp = 3
/
ATOMIC_SPECIES
K 39.10 K.upf
Co 58.93 Co.upf
S 32.06 S.upf
CELL_PARAMETERS angstrom
4.344 0.000 0.000
0.000 4.344 0.000
0.000 0.000 4.344
ATOMIC_POSITIONS crystal
K 0.500 0.500 0.500
Co 0.000 0.500 0.000
Co 0.000 0.000 0.500
Co 0.500 0.000 0.000
S 0.000 0.000 0.000
! Total magnetization: 4.00 μB per formula unit
! Space-group type: Pm-3m

Order of stability, best first: 2), 1)

1) ! PBE KCoSb2Te, relaxed; values from VASP
&SYSTEM
  ibrav = 0, nat = 5, ntyp = 4
/
ATOMIC_SPECIES
Sb 121.76 Sb.upf
K 39.10 K.upf
Te 127.60 Te.upf
Co 58.93 Co.upf
CELL_PARAMETERS angstrom
-3.801 -0.235 4.387
1.416 -5.557 0.930
4.191 1.691 3.721
ATOMIC_POSITIONS crystal
Sb 0.000 0.500 0.000
Sb 0.500 0.000 0.000
K 0.000 0.000 0.000
Te 0.000 0.000 0.500
Co 0.500 0.500 0.500
! Total magnetization: 2.63 μB per formula unit
! Space-group type: P4/mmm

2) ! PBE KCoSb2Te, relaxed; values from VASP
&SYSTEM
  ibrav = 0, nat = 5, ntyp = 4
/
ATOMIC_SPECIES
Sb 121.76 Sb.upf
K 39.10 K.upf
Te 127.60 Te.upf
Co 58.93 Co.upf
CELL_PARAMETERS angstrom
4.905 0.000 0.000
0.000 4.905 0.000
0.000 0.000 5.913
ATOMIC_POSITIONS crystal
Sb 0.000 0.500 0.000
Sb 0.500 0.000 0.000
K 0.500 0.500 0.500
Te 0.000 0.000 0.500
Co 0.000 0.000 0.000
! Total magnetization: 0.00 μB per formula unit
! Space-group type: P4/mmm

Order of stability, best first: 2), 1)

1) ! PBE KCoSbTe2, relaxed; values from VASP
&SYSTEM
  ibrav = 0, nat = 5, ntyp = 4
/
ATOMIC_SPECIES
Sb 121.76 Sb.upf
K 39.10 K.upf
Te 127.60 Te.upf
Co 58.93 Co.upf
CELL_PARAMETERS angstrom
5.939 0.000 0.000
0.000 5.939 0.000
0.000 0.000 5.804
ATOMIC_POSITIONS crystal
Sb 0.000 0.000 0.500
K 0.000 0.000 0.000
Te 0.000 0.500 0.000
Te 0.500 0.000 0.000
Co 0.500 0.500 0.500
! Total magnetization: 2.69 μB per formula unit
! Space-group type: P4/mmm

2) ! PBE KCoSbTe2, relaxed; values from VASP
&SYSTEM
  ibrav = 0, nat = 5, ntyp = 4
/
ATOMIC_SPECIES
Sb 121.76 Sb.upf
K 39.10 K.upf
Te 127.60 Te.upf
Co 58.93 Co.upf
CELL_PARAMETERS angstrom
5.481 0.000 0.000
0.000 5.481 0.000
0.000 0.000 4.771
ATOMIC_POSITIONS crystal
Sb 0.000 0.000 0.500
K 0.500 0.500 0.500
Te 0.000 0.500 0.000
Te 0.500 0.000 0.000
Co 0.000 0.000 0.000
! Total magnetization: 0.50 μB per formula unit
! Space-group type: P4/mmm

Order of stability, best first: 2), 1)

1) ! PBE KScCo2, relaxed; values from VASP
&SYSTEM
  ibrav = 0, nat = 4, ntyp = 3
/
ATOMIC_SPECIES
Co 58.93 Co.upf
K 39.10 K.upf
Sc 44.96 Sc.upf
CELL_PARAMETERS angstrom
-1.071 3.632 -0.745
-0.894 1.047 -3.605
-8.165 -0.412 -0.132
ATOMIC_POSITIONS crystal
Co 0.970 0.970 0.088
Co 0.303 0.303 0.088
K 0.529 0.529 0.420
Sc 0.698 0.698 0.903
! Total magnetization: 1.18 μB per formula unit
! Space-group type: Cm

2) ! PBE KScCo2, relaxed; values from VASP
&SYSTEM
  ibrav = 0, nat = 8, ntyp = 3
/
ATOMIC_SPECIES
Sc 44.96 Sc.upf
K 39.10 K.upf
Co 58.93 Co.upf
CELL_PARAMETERS angstrom
-1.230 0.224 4.631
-3.167 -3.539 -0.670
3.923 -7.498 3.890
ATOMIC_POSITIONS crystal
Sc 0.000 0.000 0.000
Sc 0.750 0.250 0.500
K 0.500 0.500 0.000
K 0.250 0.750 0.500
Co 0.876 0.125 0.250
Co 0.874 0.625 0.250
Co 0.375 0.124 0.750
Co 0.875 0.126 0.750
! Total magnetization: 1.73 μB per formula unit
! Space-group type: I4_1/amd

3) ! PBE KScCo2, relaxed; values from VASP
&SYSTEM
  ibrav = 0, nat = 4, ntyp = 3
/
ATOMIC_SPECIES
Co 58.93 Co.upf
K 39.10 K.upf
Sc 44.96 Sc.upf
CELL_PARAMETERS angstrom
4.818 -0.144 0.368
3.776 2.997 0.368
1.497 0.497 7.051
ATOMIC_POSITIONS crystal
Co 0.010 0.010 0.847
Co 0.490 0.490 0.653
K 0.250 0.250 0.250
Sc 0.750 0.750 0.750
! Total magnetization: 2.25 μB per formula unit
! Space-group type: C2/m

Order of stability, best first: 1), 3), 2)